1.
Compound: CuSbIrPt
Source: the Open Quantum Materials Database
Functional: PBE
Structure: relaxed

Calculated values
space-group type: F-43m
mass density: 14.8 g/cm3
distance to the lowest polymorph of the same formula: 0.000 eV per atom

```
4
Lattice="0.0000 3.1800 3.1800 3.1800 0.0000 3.1800 3.1800 3.1800 0.0000" Properties=species:S:1:pos:R:3 pbc="T T T"
Cu 0.0000 0.0000 0.0000
Sb 4.7700 4.7700 4.7700
Ir 3.1800 3.1800 3.1800
Pt 1.5900 1.5900 1.5900
```

=====

2.
Compound: TlCuIrPt
Source: the Open Quantum Materials Database
Functional: PBE
Structure: relaxed

Calculated values
space-group type: F-43m
mass density: 16.6 g/cm3
distance to the lowest polymorph of the same formula: 0.000 eV per atom

```
4
Lattice="0.0000 3.1978 3.1978 3.1978 0.0000 3.1978 3.1978 3.1978 0.0000" Properties=species:S:1:pos:R:3 pbc="T T T"
Tl 0.0000 0.0000 0.0000
Cu 1.5989 1.5989 1.5989
Ir 4.7967 4.7967 4.7967
Pt 3.1978 3.1978 3.1978
```

=====

3.
Compound: Tm3Zn3CuIrPt
Source: the Open Quantum Materials Database
Functional: PBE
Structure: relaxed

Calculated values
space-group type: P-6
mass density: 11.4 g/cm3
calculated formation energy: -69 kJ/mol of atoms

```
9
Lattice="7.1850 0.0000 0.0000 -3.5925 6.2224 0.0000 0.0000 0.0000 3.7439" Properties=species:S:1:pos:R:3 pbc="T T T"
Tm -0.6466 2.1164 0.0000
Tm -1.4363 5.7241 0.0000
Tm 2.0829 4.6042 0.0000
Zn 1.8245 2.0909 1.8720
Zn 4.4619 0.5346 1.8720
Zn 4.4910 3.5968 1.8720
Cu 3.5925 2.0741 0.0000
Ir 0.0000 4.1482 1.8720
Pt 0.0000 0.0000 1.8720
```

=====

4.
Compound: PuUCuIr
Source: the Open Quantum Materials Database
Functional: PBE
Structure: relaxed

Calculated values
space-group type: F-43m
mass density: 17.4 g/cm3
calculated formation energy: -36 kJ/mol of atoms

```
4
Lattice="0.0000 3.2756 3.2756 3.2756 0.0000 3.2756 3.2756 3.2756 0.0000" Properties=species:S:1:pos:R:3 pbc="T T T"
Pu 0.0000 0.0000 0.0000
U 1.6378 1.6378 1.6378
Cu 4.9135 4.9135 4.9135
Ir 3.2756 3.2756 3.2756
```